# 1
Below is AcHoPd after structural relaxation, with properties calculated at the PBE-GGA level.

POSCAR file:
```
AcHoPd
1.0
-1.131 5.822 -2.806
-5.189 -3.956 -6.117
-2.420 2.667 6.510
Ac Ho Pd
4 4 4
Direct
0.365 0.138 0.781 Ac
0.635 0.862 0.219 Ac
0.865 0.362 0.719 Ac
0.135 0.638 0.281 Ac
0.846 0.201 0.123 Ho
0.654 0.701 0.623 Ho
0.154 0.799 0.877 Ho
0.346 0.299 0.377 Ho
0.406 0.523 0.831 Pd
0.594 0.477 0.169 Pd
0.094 0.023 0.331 Pd
0.906 0.977 0.669 Pd
```

Properties
The value obtained for the magnetic moment is 0.000 μB per formula unit. The energy relative to the lowest polymorph listed for this composition comes out at 0 meV/atom. The energy relative to the elements comes out at -0.57 eV/atom. The calculation puts the total energy at -62.310 eV for the cell shown.

***

# 2
Below is Ba2ReTc after structural relaxation, with properties calculated at the PBE-GGA level.

POSCAR file:
```
Ba2ReTc
1.0
-2.838 1.308 -1.617
1.522 -0.559 -3.123
-4.042 -9.175 -0.326
Ba Re Tc
2 1 1
Direct
0.000 0.000 0.921 Ba
0.500 0.500 0.330 Ba
0.000 0.000 0.597 Re
0.500 0.500 0.652 Tc
```

Properties
The value obtained for the magnetic moment is 0.000 μB per formula unit. The energy relative to the lowest polymorph listed for this composition comes out at 246 meV/atom. The energy relative to the elements comes out at 0.62 eV/atom. The calculation puts the total energy at -24.174 eV for the cell shown.

***

# 3
Below is Li5Hg3Pb after structural relaxation, with properties calculated at the PBE-GGA level.

POSCAR file:
```
Li5Hg3Pb
1.0
6.068 0.000 0.000
0.000 8.316 0.000
0.000 -4.158 7.201
Li Hg Pb
10 6 2
Direct
0.000 0.667 0.333 Li
0.500 0.333 0.667 Li
0.000 0.333 0.667 Li
0.500 0.667 0.333 Li
0.750 0.686 0.686 Li
0.750 0.000 0.314 Li
0.750 0.314 0.000 Li
0.250 0.314 0.314 Li
0.250 0.000 0.686 Li
0.250 0.686 0.000 Li
0.750 0.368 0.368 Hg
0.750 0.000 0.632 Hg
0.750 0.632 0.000 Hg
0.250 0.632 0.632 Hg
0.250 0.000 0.368 Hg
0.250 0.368 0.000 Hg
0.000 0.000 0.000 Pb
0.500 0.000 0.000 Pb
```

Properties
The value obtained for the magnetic moment is 0.000 μB per formula unit. The energy relative to the elements comes out at -0.28 eV/atom. The calculation puts the total energy at -33.469 eV for the cell shown.

***

# 4
Below is Pr5Tl2Ag2 after structural relaxation, with properties calculated at the PBE-GGA level.

POSCAR file:
```
Pr5Tl2Ag2
1.0
7.646 0.000 0.000
0.000 8.753 0.000
0.000 -4.377 8.374
Pr Tl Ag
10 4 4
Direct
0.000 0.000 0.000 Pr
0.500 0.500 0.000 Pr
0.842 0.818 0.270 Pr
0.158 0.452 0.270 Pr
0.342 0.952 0.270 Pr
0.658 0.318 0.270 Pr
0.158 0.182 0.730 Pr
0.842 0.548 0.730 Pr
0.658 0.048 0.730 Pr
0.342 0.682 0.730 Pr
0.000 0.211 0.422 Tl
0.500 0.711 0.422 Tl
0.000 0.789 0.578 Tl
0.500 0.289 0.578 Tl
0.624 0.875 0.000 Ag
0.376 0.125 0.000 Ag
0.124 0.625 0.000 Ag
0.876 0.375 0.000 Ag
```

Properties
The value obtained for the magnetic moment is 0.000 μB per formula unit. The energy relative to the elements comes out at -0.22 eV/atom. The calculation puts the total energy at -72.588 eV for the cell shown.

***

# 5
Below is KIn2Ru after structural relaxation, with properties calculated at the PBE-GGA level.

POSCAR file:
```
KIn2Ru
1.0
5.151 0.000 0.000
0.000 5.153 0.000
0.000 0.000 3.404
In K Ru
2 1 1
Direct
0.000 0.000 0.000 In
0.500 0.500 0.000 In
0.500 0.000 0.500 K
0.000 0.500 0.500 Ru
```

Properties
The value obtained for the magnetic moment is 0.000 μB per formula unit. The energy relative to the lowest polymorph listed for this composition comes out at 509 meV/atom. The energy relative to the elements comes out at 0.61 eV/atom. The calculation puts the total energy at -13.401 eV for the cell shown.

***

# 6
Below is In4Ru after structural relaxation, with properties calculated at the PBE-GGA level.

POSCAR file:
```
In4Ru
1.0
-3.134 3.134 3.134
3.134 -3.134 3.134
3.134 3.134 -3.134
In Ru
4 1
Direct
0.500 0.000 0.000 In
0.500 0.500 0.500 In
0.000 0.500 0.000 In
0.000 0.000 0.500 In
0.000 0.000 0.000 Ru
```

Properties
The value obtained for the magnetic moment is 0.000 μB per formula unit. The energy relative to the lowest polymorph listed for this composition comes out at 0 meV/atom. The energy relative to the elements comes out at -0.02 eV/atom. The calculation puts the total energy at -20.326 eV for the cell shown.

***

# 7
Below is Li6NdSn4 after structural relaxation, with properties calculated at the PBE-GGA level.

POSCAR file:
```
Li6NdSn4
1.0
4.579 0.000 0.000
0.000 7.615 0.000
0.000 -3.807 6.594
Li Nd Sn
6 1 4
Direct
0.000 0.537 0.073 Li
0.500 0.571 0.785 Li
0.000 0.537 0.463 Li
0.000 0.927 0.463 Li
0.500 0.215 0.785 Li
0.500 0.215 0.429 Li
0.000 0.000 0.000 Nd
0.500 0.803 0.605 Sn
0.500 0.395 0.197 Sn
0.500 0.803 0.197 Sn
0.000 0.333 0.667 Sn
```

Properties
The value obtained for the magnetic moment is 0.000 μB per formula unit. The energy relative to the elements comes out at -0.36 eV/atom. The calculation puts the total energy at -36.207 eV for the cell shown.

***

# 8
Below is ZrNbN2 after structural relaxation, with properties calculated at the PBE-GGA level.

POSCAR file:
```
ZrNbN2
1.0
3.138 0.000 0.000
1.569 2.718 0.000
1.569 0.906 5.532
Zr Nb N
1 1 2
Direct
0.495 0.495 0.514 Zr
0.670 0.670 0.990 Nb
0.080 0.080 0.759 N
0.254 0.254 0.237 N
```

Properties
The value obtained for the magnetic moment is 0.000 μB per formula unit. The calculation puts the total energy at -40.066 eV for the cell shown.

***

Look up the magnetic moment of the eighth one. 0.000 μB per formula unit

***

Number 4 is which compound? Pr5Tl2Ag2